Record 1
PBE YAlBr3, optimized geometry; space-group type = No. 221; D(E_F) = 1.2099 states/eV per atom; formation energy (no corrections) = -0.327 eV/atom
1.0
5.323 0.000 0.000
0.000 5.323 0.000
0.000 0.000 5.323
Y Al Br
1 1 3
Direct
0.000 0.000 0.000 Y
0.500 0.500 0.500 Al
0.000 0.500 0.500 Br
0.500 0.000 0.500 Br
0.500 0.500 0.000 Br

***

Record 2
PBE AcPt2, optimized geometry; space-group type = No. 191; E above lowest polymorph = 0.00 eV/f.u.; D(E_F) = 1.1639 states/eV per atom; energy of formation from the pure elements = -1026 meV/atom
1.0
4.538 0.000 0.000
-2.269 3.930 0.000
0.000 0.000 4.191
Ac Pt
1 2
Direct
0.000 0.000 0.000 Ac
0.333 0.667 0.500 Pt
0.667 0.333 0.500 Pt

***

Record 3
PBE BaRu3W, optimized geometry; space-group type = No. 221; E above lowest polymorph = 11.54 eV/f.u.; D(E_F) = 2.9010 states/eV per atom; energy of formation from the pure elements = 3271 meV/atom
1.0
4.833 0.000 0.000
0.000 4.833 0.000
0.000 0.000 4.833
Ba Ru W
1 3 1
Direct
0.000 0.000 0.000 Ba
0.000 0.000 0.500 Ru
0.000 0.500 0.000 Ru
0.500 0.000 0.000 Ru
0.500 0.500 0.500 W

***

Record 4
PBE Tm3CuHg2, optimized geometry; space-group type = No. 123; D(E_F) = 0.5390 states/eV per atom; energy of formation from the pure elements = -405 meV/atom
1.0
3.554 0.000 0.000
0.000 3.554 0.000
0.000 0.000 11.056
Tm Cu Hg
3 1 2
Direct
0.000 0.000 0.000 Tm
0.000 0.000 0.351 Tm
0.000 0.000 0.649 Tm
0.500 0.500 0.500 Cu
0.500 0.500 0.174 Hg
0.500 0.500 0.826 Hg

***

Record 5
PBE LiPaTc2, optimized geometry; space-group type = No. 225; E above lowest polymorph = 0.00 eV/f.u.; D(E_F) = 0.9830 states/eV per atom; energy of formation from the pure elements = -33 meV/atom
1.0
0.000 3.191 3.191
3.191 0.000 3.191
3.191 3.191 0.000
Li Pa Tc
1 1 2
Direct
0.000 0.000 0.000 Li
0.500 0.500 0.500 Pa
0.250 0.250 0.250 Tc
0.750 0.750 0.750 Tc

***

Record 6
PBE YGa2IrN, optimized geometry; space-group type = No. 123; D(E_F) = 0.7574 states/eV per atom; formation energy (no corrections) = 0.098 eV/atom
1.0
5.148 0.000 0.000
0.000 5.148 0.000
0.000 0.000 3.706
Y Ga Ir N
1 2 1 1
Direct
0.000 0.000 0.000 Y
0.000 0.500 0.500 Ga
0.500 0.000 0.500 Ga
0.500 0.500 0.500 Ir
0.500 0.500 0.000 N